#w
A plane-wave DFT calculation with PBE was carried out for a relaxed CaDyAlAg crystal.

Summary:
**Magnetic moment**: 0.00 μB per atom
**Density**: 5672 kg/m3
**Space group**: No. 99

a = 3.669 Å, b = 3.669 Å, c = 7.338 Å
α = 90.00°, β = 90.00°, γ = 90.00°
Positions (direct):
Ca 0.000 0.000 0.858
Dy 0.000 0.000 0.356
Al 0.500 0.500 0.125
Ag 0.500 0.500 0.589

#x
A plane-wave DFT calculation with PBE was carried out for a relaxed CaDyAlAg crystal.

Summary:
**Magnetic moment**: 0.00 μB per atom
**Density**: 5682 kg/m3
**Space group**: No. 216

a = 5.186 Å, b = 5.186 Å, c = 5.186 Å
α = 60.00°, β = 60.00°, γ = 60.00°
Positions (direct):
Ca 0.500 0.500 0.500
Al 0.750 0.750 0.750
Ag 0.250 0.250 0.250
Dy 0.000 0.000 0.000

Energy relative to the most stable one, in eV/atom: #w 0.000; #x 0.017

#w
A plane-wave DFT calculation with PBE was carried out for a relaxed CaPmAlAg crystal.

Summary:
**Magnetic moment**: 0.00 μB per atom
**Density**: 5160 kg/m3
**Space group**: No. 216

a = 5.261 Å, b = 5.261 Å, c = 5.261 Å
α = 60.00°, β = 60.00°, γ = 60.00°
Positions (direct):
Ca 0.500 0.500 0.500
Al 0.750 0.750 0.750
Ag 0.250 0.250 0.250
Pm 0.000 0.000 0.000

#x
A plane-wave DFT calculation with PBE was carried out for a relaxed CaPmAlAg crystal.

Summary:
**Magnetic moment**: 0.00 μB per atom
**Density**: 5182 kg/m3
**Space group**: No. 99

a = 3.706 Å, b = 3.706 Å, c = 7.464 Å
α = 90.00°, β = 90.00°, γ = 90.00°
Positions (direct):
Ca 0.000 0.000 0.856
Pm 0.000 0.000 0.352
Al 0.500 0.500 0.115
Ag 0.500 0.500 0.605

Energy relative to the most stable one, in eV/atom: #w 0.000; #x 0.006

#w
A plane-wave DFT calculation with PBE was carried out for a relaxed Al2CdAg4 crystal.

Summary:
**Magnetic moment**: 0.00 μB per atom
**Density**: 7610 kg/m3
**Space group**: No. 166

a = 4.546 Å, b = 4.546 Å, c = 7.747 Å
α = 72.94°, β = 72.94°, γ = 60.00°
Positions (direct):
Al 0.749 0.749 0.754
Al 0.251 0.251 0.246
Cd 0.000 0.000 0.000
Ag 0.869 0.869 0.394
Ag 0.131 0.131 0.606
Ag 0.610 0.610 0.170
Ag 0.390 0.390 0.830

#x
A plane-wave DFT calculation with PBE was carried out for a relaxed Al2CdAg4 crystal.

Summary:
**Magnetic moment**: 0.00 μB per atom
**Density**: 7976 kg/m3
**Space group**: No. 8

a = 3.018 Å, b = 2.985 Å, c = 16.014 Å
α = 90.05°, β = 90.00°, γ = 120.36°
Positions (direct):
Al 0.711 0.421 0.100
Al 0.714 0.429 0.374
Ag 0.045 0.090 0.967
Ag 0.383 0.766 0.509
Ag 0.045 0.090 0.236
Ag 0.384 0.768 0.818
Cd 0.719 0.438 0.664

Energy relative to the most stable one, in eV/atom: #w 0.049; #x 0.000

#w
A plane-wave DFT calculation with PBE was carried out for a relaxed AlCd3Ag crystal.

Summary:
**Magnetic moment**: 0.00 μB per atom
**Density**: 5416 kg/m3
**Space group**: No. 221

a = 5.250 Å, b = 5.250 Å, c = 5.250 Å
α = 90.00°, β = 90.00°, γ = 90.00°
Positions (direct):
Al 0.500 0.500 0.500
Ag 0.000 0.000 0.000
Cd 0.000 0.500 0.000
Cd 0.000 0.000 0.500
Cd 0.500 0.000 0.000

#x
A plane-wave DFT calculation with PBE was carried out for a relaxed AlCd3Ag crystal.

Summary:
**Magnetic moment**: 0.00 μB per atom
**Density**: 5617 kg/m3
**Space group**: No. 221

a = 5.187 Å, b = 5.187 Å, c = 5.187 Å
α = 90.00°, β = 90.00°, γ = 90.00°
Positions (direct):
Al 0.000 0.000 0.000
Ag 0.500 0.500 0.500
Cd 0.000 0.500 0.000
Cd 0.000 0.000 0.500
Cd 0.500 0.000 0.000

Energy relative to the most stable one, in eV/atom: #w 0.000; #x 0.016

#w
A plane-wave DFT calculation with PBE was carried out for a relaxed AlCdAg crystal.

Summary:
**Magnetic moment**: 0.00 μB per atom
**Density**: 6917 kg/m3
**Space group**: No. 12

a = 4.696 Å, b = 4.696 Å, c = 8.975 Å
α = 66.14°, β = 66.14°, γ = 41.72°
Positions (direct):
Cd 0.974 0.974 0.250
Cd 0.779 0.779 0.057
Ag 0.616 0.616 0.428
Ag 0.137 0.137 0.879
Al 0.277 0.277 0.555
Al 0.476 0.476 0.752

#x
A plane-wave DFT calculation with PBE was carried out for a relaxed AlCdAg crystal.

Summary:
**Magnetic moment**: 0.00 μB per atom
**Density**: 6441 kg/m3
**Space group**: No. 216

a = 4.484 Å, b = 4.484 Å, c = 4.484 Å
α = 60.00°, β = 60.00°, γ = 60.00°
Positions (direct):
Al 0.750 0.750 0.750
Ag 0.500 0.500 0.500
Cd 0.000 0.000 0.000

Energy relative to the most stable one, in eV/atom: #w 0.000; #x 0.120

#w
A plane-wave DFT calculation with PBE was carried out for a relaxed AlCdAg crystal.

Summary:
**Magnetic moment**: 0.00 μB per atom
**Density**: 7267 kg/m3
**Space group**: No. 156

a = 3.085 Å, b = 3.085 Å, c = 6.855 Å
α = 90.00°, β = 90.00°, γ = 120.00°
Positions (direct):
Al 0.667 0.333 0.320
Ag 0.000 0.000 0.015
Cd 0.333 0.667 0.665

#x
A plane-wave DFT calculation with PBE was carried out for a relaxed AlCdAg crystal.

Summary:
**Magnetic moment**: 0.00 μB per atom
**Density**: 7305 kg/m3
**Space group**: No. 44

a = 5.040 Å, b = 5.040 Å, c = 5.040 Å
α = 142.97°, β = 132.53°, γ = 61.68°
Positions (direct):
Al 0.338 0.338 0.000
Ag 0.996 0.996 0.000
Cd 0.666 0.666 0.000

#y
A plane-wave DFT calculation with PBE was carried out for a relaxed AlCdAg crystal.

Summary:
**Magnetic moment**: 0.00 μB per atom
**Density**: 7121 kg/m3
**Space group**: No. 156

a = 4.598 Å, b = 4.598 Å, c = 3.149 Å
α = 90.00°, β = 90.00°, γ = 120.00°
Positions (direct):
Al 0.333 0.667 0.168
Ag 0.000 0.000 0.165
Cd 0.667 0.333 0.666

#z
A plane-wave DFT calculation with PBE was carried out for a relaxed AlCdAg crystal.

Summary:
**Magnetic moment**: 0.00 μB per atom
**Density**: 7258 kg/m3
**Space group**: No. 107

a = 6.670 Å, b = 6.670 Å, c = 6.670 Å
α = 154.09°, β = 154.09°, γ = 36.97°
Positions (direct):
Al 0.343 0.343 0.000
Ag 0.990 0.990 0.000
Cd 0.667 0.667 0.000

Energy relative to the most stable one, in eV/atom: #w 0.000; #x 0.047; #y 0.090; #z 0.039

#w
A plane-wave DFT calculation with PBE was carried out for a relaxed Al2Cd2Ag5 crystal.

Summary:
**Magnetic moment**: 0.00 μB per atom
**Density**: 7784 kg/m3
**Space group**: No. 64

a = 7.018 Å, b = 7.181 Å, c = 7.802 Å
α = 117.40°, β = 90.00°, γ = 90.00°
Positions (direct):
Al 0.636 0.861 0.000
Al 0.364 0.139 0.000
Al 0.136 0.639 0.000
Al 0.864 0.361 0.000
Cd 0.000 0.210 0.420
Cd 0.500 0.710 0.420
Cd 0.000 0.790 0.580
Cd 0.500 0.290 0.580
Ag 0.000 0.000 0.000
Ag 0.500 0.500 0.000
Ag 0.835 0.781 0.248
Ag 0.165 0.467 0.248
Ag 0.335 0.967 0.248
Ag 0.665 0.281 0.248
Ag 0.165 0.219 0.752
Ag 0.835 0.533 0.752
Ag 0.665 0.033 0.752
Ag 0.335 0.719 0.752

#x
A plane-wave DFT calculation with PBE was carried out for a relaxed Al2Cd2Ag5 crystal.

Summary:
**Magnetic moment**: 0.00 μB per atom
**Density**: 8018 kg/m3
**Space group**: No. 12

a = 2.953 Å, b = 9.517 Å, c = 7.139 Å
α = 59.17°, β = 90.00°, γ = 98.92°
Positions (direct):
Al 0.175 0.349 0.678
Al 0.825 0.651 0.322
Cd 0.401 0.801 0.849
Cd 0.599 0.199 0.151
Ag 0.230 0.461 0.211
Ag 0.770 0.539 0.789
Ag 0.063 0.126 0.555
Ag 0.937 0.874 0.445
Ag 0.000 0.000 0.000

Energy relative to the most stable one, in eV/atom: #w 0.038; #x 0.000

#w
A plane-wave DFT calculation with PBE was carried out for a relaxed AlCd6Ag8 crystal.

Summary:
**Magnetic moment**: 0.00 μB per atom
**Density**: 8414 kg/m3
**Space group**: No. 147

a = 5.654 Å, b = 7.940 Å, c = 7.940 Å
α = 120.00°, β = 90.00°, γ = 90.00°
Positions (direct):
Al 0.500 0.000 0.000
Cd 0.680 0.620 0.002
Cd 0.680 0.998 0.618
Cd 0.680 0.382 0.380
Cd 0.320 0.380 0.998
Cd 0.320 0.002 0.382
Cd 0.320 0.618 0.620
Ag 0.826 0.001 0.270
Ag 0.826 0.730 0.731
Ag 0.826 0.269 0.999
Ag 0.174 0.999 0.730
Ag 0.174 0.270 0.269
Ag 0.174 0.731 0.001
Ag 0.998 0.333 0.667
Ag 0.002 0.667 0.333

#x
A plane-wave DFT calculation with PBE was carried out for a relaxed AlCd6Ag8 crystal.

Summary:
**Magnetic moment**: 0.00 μB per atom
**Density**: 8836 kg/m3
**Space group**: No. 148

a = 7.503 Å, b = 7.503 Å, c = 7.425 Å
α = 59.65°, β = 59.65°, γ = 60.00°
Positions (direct):
Al 0.000 0.000 0.000
Cd 0.467 0.936 0.826
Cd 0.064 0.229 0.174
Cd 0.229 0.533 0.174
Cd 0.771 0.467 0.826
Cd 0.936 0.771 0.826
Cd 0.533 0.064 0.174
Ag 0.601 0.317 0.311
Ag 0.683 0.230 0.689
Ag 0.230 0.399 0.689
Ag 0.852 0.852 0.443
Ag 0.148 0.148 0.557
Ag 0.770 0.601 0.311
Ag 0.317 0.770 0.311
Ag 0.399 0.683 0.689

Energy relative to the most stable one, in eV/atom: #w 0.006; #x 0.000

#w
A plane-wave DFT calculation with PBE was carried out for a relaxed AlCd2Ag6 crystal.

Summary:
**Magnetic moment**: 0.00 μB per atom
**Density**: 9074 kg/m3
**Space group**: No. 136

a = 4.289 Å, b = 8.759 Å, c = 8.758 Å
α = 90.00°, β = 90.00°, γ = 90.00°
Positions (direct):
Al 0.500 0.500 0.000
Al 0.000 0.000 0.500
Cd 0.000 0.316 0.816
Cd 0.500 0.816 0.684
Cd 0.500 0.184 0.316
Cd 0.000 0.684 0.184
Ag 0.000 0.012 0.169
Ag 0.000 0.669 0.512
Ag 0.000 0.646 0.854
Ag 0.500 0.146 0.646
Ag 0.500 0.169 0.988
Ag 0.500 0.512 0.331
Ag 0.000 0.988 0.831
Ag 0.000 0.331 0.488
Ag 0.000 0.354 0.146
Ag 0.500 0.854 0.354
Ag 0.500 0.831 0.012
Ag 0.500 0.488 0.669

#x
A plane-wave DFT calculation with PBE was carried out for a relaxed AlCd2Ag6 crystal.

Summary:
**Magnetic moment**: 0.00 μB per atom
**Density**: 8686 kg/m3
**Space group**: No. 71

a = 4.787 Å, b = 8.106 Å, c = 6.463 Å
α = 128.83°, β = 111.74°, γ = 90.00°
Positions (direct):
Al 0.000 0.000 0.000
Cd 0.665 0.665 0.330
Cd 0.335 0.335 0.670
Ag 0.162 0.465 0.323
Ag 0.838 0.142 0.677
Ag 0.838 0.535 0.677
Ag 0.500 0.175 0.000
Ag 0.162 0.858 0.323
Ag 0.500 0.825 0.000

Energy relative to the most stable one, in eV/atom: #w 0.000; #x 0.054

#w
A plane-wave DFT calculation with PBE was carried out for a relaxed AlCd2Ag8 crystal.

Summary:
**Magnetic moment**: 0.00 μB per atom
**Density**: 9280 kg/m3
**Space group**: No. 12

a = 4.203 Å, b = 6.588 Å, c = 7.788 Å
α = 105.56°, β = 105.66°, γ = 90.00°
Positions (direct):
Al 0.500 0.000 0.000
Cd 0.222 0.642 0.445
Cd 0.778 0.358 0.555
Ag 0.588 0.442 0.176
Ag 0.323 0.090 0.646
Ag 0.134 0.176 0.269
Ag 0.042 0.730 0.085
Ag 0.866 0.824 0.731
Ag 0.677 0.910 0.354
Ag 0.412 0.558 0.824
Ag 0.958 0.270 0.915

#x
A plane-wave DFT calculation with PBE was carried out for a relaxed AlCd2Ag8 crystal.

Summary:
**Magnetic moment**: 0.00 μB per atom
**Density**: 7939 kg/m3
**Space group**: No. 12

a = 5.039 Å, b = 7.012 Å, c = 7.012 Å
α = 82.75°, β = 76.26°, γ = 76.26°
Positions (direct):
Al 0.000 0.000 0.000
Cd 0.457 0.152 0.152
Cd 0.543 0.848 0.848
Ag 0.829 0.156 0.669
Ag 0.171 0.331 0.844
Ag 0.882 0.270 0.270
Ag 0.118 0.730 0.730
Ag 0.829 0.669 0.156
Ag 0.171 0.844 0.331
Ag 0.293 0.432 0.432
Ag 0.707 0.568 0.568

Energy relative to the most stable one, in eV/atom: #w 0.000; #x 0.195

#w
A plane-wave DFT calculation with PBE was carried out for a relaxed AlCd3Ag6 crystal.

Summary:
**Magnetic moment**: 0.00 μB per atom
**Density**: 9081 kg/m3
**Space group**: No. 11

a = 4.427 Å, b = 8.925 Å, c = 9.389 Å
α = 94.41°, β = 90.00°, γ = 90.00°
Positions (direct):
Al 0.250 0.950 0.609
Al 0.750 0.050 0.391
Cd 0.250 0.543 0.401
Cd 0.750 0.457 0.599
Cd 0.250 0.355 0.792
Cd 0.750 0.645 0.208
Cd 0.250 0.758 0.007
Cd 0.750 0.242 0.993
Ag 0.250 0.445 0.098
Ag 0.750 0.555 0.902
Ag 0.250 0.144 0.191
Ag 0.750 0.856 0.809
Ag 0.250 0.666 0.700
Ag 0.750 0.334 0.300
Ag 0.250 0.227 0.492
Ag 0.750 0.773 0.508
Ag 0.250 0.862 0.321
Ag 0.750 0.138 0.679
Ag 0.250 0.051 0.888
Ag 0.750 0.949 0.112

#x
A plane-wave DFT calculation with PBE was carried out for a relaxed AlCd3Ag6 crystal.

Summary:
**Magnetic moment**: 0.00 μB per atom
**Density**: 8926 kg/m3
**Space group**: No. 11

a = 2.968 Å, b = 10.907 Å, c = 12.569 Å
α = 112.33°, β = 90.00°, γ = 90.00°
Positions (direct):
Al 0.750 0.077 0.693
Al 0.250 0.923 0.307
Cd 0.750 0.530 0.905
Cd 0.250 0.470 0.095
Cd 0.750 0.634 0.494
Cd 0.250 0.366 0.506
Cd 0.750 0.228 0.115
Cd 0.250 0.772 0.885
Ag 0.750 0.561 0.693
Ag 0.250 0.439 0.307
Ag 0.750 0.957 0.096
Ag 0.250 0.043 0.904
Ag 0.750 0.268 0.900
Ag 0.250 0.732 0.100
Ag 0.750 0.698 0.292
Ag 0.250 0.302 0.708
Ag 0.750 0.113 0.483
Ag 0.250 0.887 0.517
Ag 0.750 0.844 0.713
Ag 0.250 0.156 0.287

Energy relative to the most stable one, in eV/atom: #w 0.000; #x 0.031